Record 1
Below is crystalline Y2RhWN at its relaxed geometry, with properties calculated at the PBE level.

Unit cell a=5.349 b=5.349 c=4.617 alpha=90.00 beta=90.00 gamma=90.00
Space group P4/mmm (No. 123)
Symmetry-distinct sites (fractional):
Y 0.000 0.500 0.000 [2 per cell]
Rh 0.000 0.000 0.000 [1 per cell]
W 0.000 0.000 0.500 [1 per cell]
N 0.500 0.500 0.500 [1 per cell]

Values from the calculation:
Fermi-level density of states	0.723	states/eV/atom
electronic total energy	-35.194	eV/f.u.
energy relative to the elements, uncorrected	6.4	eV/f.u.
total moment	1.1	μB per formula unit

---

Record 2
Below is crystalline Sc5ZnIn at its relaxed geometry, with properties calculated at the PBE level.

Unit cell a=10.494 b=5.938 c=11.854 alpha=90.00 beta=116.11 gamma=90.00
Space group C2/c (No. 15)
Symmetry-distinct sites (fractional):
Sc 0.000 0.094 0.250 [4 per cell]
Sc 0.083 0.241 0.012 [8 per cell]
Sc 0.223 0.148 0.711 [8 per cell]
Zn 0.250 0.250 0.500 [4 per cell]
In 0.000 0.416 0.750 [4 per cell]

Values from the calculation:
Fermi-level density of states	1.193	states/eV/atom
formation enthalpy at 0 K	-20	meV/atom
electronic total energy	-35.810	eV/f.u.
total moment	0.0	μB per formula unit

---

Repeat the second record exactly.
Below is crystalline Sc5ZnIn at its relaxed geometry, with properties calculated at the PBE level.

Unit cell a=10.494 b=5.938 c=11.854 alpha=90.00 beta=116.11 gamma=90.00
Space group C2/c (No. 15)
Symmetry-distinct sites (fractional):
Sc 0.000 0.094 0.250 [4 per cell]
Sc 0.083 0.241 0.012 [8 per cell]
Sc 0.223 0.148 0.711 [8 per cell]
Zn 0.250 0.250 0.500 [4 per cell]
In 0.000 0.416 0.750 [4 per cell]

Values from the calculation:
Fermi-level density of states	1.193	states/eV/atom
formation enthalpy at 0 K	-20	meV/atom
electronic total energy	-35.810	eV/f.u.
total moment	0.0	μB per formula unit

---

What did the first record say?
Below is crystalline Y2RhWN at its relaxed geometry, with properties calculated at the PBE level.

Unit cell a=5.349 b=5.349 c=4.617 alpha=90.00 beta=90.00 gamma=90.00
Space group P4/mmm (No. 123)
Symmetry-distinct sites (fractional):
Y 0.000 0.500 0.000 [2 per cell]
Rh 0.000 0.000 0.000 [1 per cell]
W 0.000 0.000 0.500 [1 per cell]
N 0.500 0.500 0.500 [1 per cell]

Values from the calculation:
Fermi-level density of states	0.723	states/eV/atom
electronic total energy	-35.194	eV/f.u.
energy relative to the elements, uncorrected	6.4	eV/f.u.
total moment	1.1	μB per formula unit